[1]
# V2Co4Os | the Alexandria database | PBE | relaxed
data_V2Co4Os
_symmetry_space_group_name_H-M 'I 4/m m m'
_symmetry_Int_Tables_number 139
_symmetry_space_group_name_Hall '-I 4 2'
_cell_length_a 4.398
_cell_length_b 4.398
_cell_length_c 11.612
_cell_angle_alpha 90.00
_cell_angle_beta 90.00
_cell_angle_gamma 90.00
loop_
_atom_site_label
_atom_site_type_symbol
_atom_site_fract_x
_atom_site_fract_y
_atom_site_fract_z
_atom_site_occupancy
V1 V 0.000 0.000 0.109 1
Co1 Co 0.000 0.000 0.289 1
Co2 Co 0.000 0.500 0.000 1
Os1 Os 0.000 0.000 0.500 1
# Calculated density   7.80 g/cm³
# E_form   1.222 eV per atom
# DOS(E_F)   25.455 states/eV/cell

=====

[2]
# VCoOs | the Alexandria database | PBE | relaxed
data_VCoOs
_symmetry_space_group_name_H-M 'I m m 2'
_symmetry_Int_Tables_number 44
_cell_length_a 2.575
_cell_length_b 4.396
_cell_length_c 7.054
_cell_angle_alpha 90.00
_cell_angle_beta 90.00
_cell_angle_gamma 90.00
loop_
_symmetry_equiv_pos_as_xyz
'x,y,z'
'-x,-y,z'
'-x,y,z'
'x,-y,z'
'x+1/2,y+1/2,z+1/2'
'-x+1/2,-y+1/2,z+1/2'
'-x+1/2,y+1/2,z+1/2'
'x+1/2,-y+1/2,z+1/2'
loop_
_atom_site_label
_atom_site_type_symbol
_atom_site_fract_x
_atom_site_fract_y
_atom_site_fract_z
_atom_site_occupancy
V1 V 0.000 0.000 0.000 1
Co1 Co 0.000 0.500 0.175 1
Os1 Os 0.000 0.000 0.362 1
# Calculated density   12.48 g/cm³
# E_form   0.187 eV per atom
# DOS(E_F)   10.030 states/eV/cell
# Offset from the most stable computed form   0.418 eV/atom

=====

[3]
# V2CoOs | the Alexandria database | PBE | relaxed
data_V2CoOs
_symmetry_space_group_name_H-M 'I -4 2 d'
_symmetry_Int_Tables_number 122
_symmetry_space_group_name_Hall 'I -4 2bw'
_cell_length_a 6.580
_cell_length_b 6.580
_cell_length_c 5.093
_cell_angle_alpha 90.00
_cell_angle_beta 90.00
_cell_angle_gamma 90.00
loop_
_atom_site_label
_atom_site_type_symbol
_atom_site_fract_x
_atom_site_fract_y
_atom_site_fract_z
_atom_site_occupancy
V1 V 0.235 0.250 0.125 1
Co1 Co 0.000 0.000 0.000 1
Os1 Os 0.000 0.000 0.500 1
# Calculated density   10.57 g/cm³
# E_form   0.412 eV per atom
# DOS(E_F)   27.649 states/eV/cell

=====

[4]
# VCoOs2 | the Alexandria database | PBE | relaxed
data_VCoOs2
_symmetry_space_group_name_H-M 'I -4 2 d'
_symmetry_Int_Tables_number 122
_symmetry_space_group_name_Hall 'I -4 2bw'
_cell_length_a 3.741
_cell_length_b 3.741
_cell_length_c 16.828
_cell_angle_alpha 90.00
_cell_angle_beta 90.00
_cell_angle_gamma 90.00
loop_
_atom_site_label
_atom_site_type_symbol
_atom_site_fract_x
_atom_site_fract_y
_atom_site_fract_z
_atom_site_occupancy
V1 V 0.000 0.000 0.000 1
Co1 Co 0.000 0.000 0.500 1
Os1 Os 0.223 0.250 0.625 1
# Calculated density   13.83 g/cm³
# E_form   0.610 eV per atom
# DOS(E_F)   21.635 states/eV/cell
# Offset from the most stable computed form   0.720 eV/atom

=====

[5]
# V4CoOs2 | the Alexandria database | PBE | relaxed
data_V4CoOs2
_symmetry_space_group_name_H-M 'I 4/m m m'
_symmetry_Int_Tables_number 139
_symmetry_space_group_name_Hall '-I 4 2'
_cell_length_a 4.202
_cell_length_b 4.202
_cell_length_c 12.406
_cell_angle_alpha 90.00
_cell_angle_beta 90.00
_cell_angle_gamma 90.00
loop_
_atom_site_label
_atom_site_type_symbol
_atom_site_fract_x
_atom_site_fract_y
_atom_site_fract_z
_atom_site_occupancy
V1 V 0.000 0.000 0.189 1
V2 V 0.000 0.500 0.000 1
Co1 Co 0.000 0.000 0.000 1
Os1 Os 0.000 0.000 0.376 1
# Calculated density   9.75 g/cm³
# E_form   0.716 eV per atom
# DOS(E_F)   19.964 states/eV/cell

=====

[6]
# VCoOs2 | the Alexandria database | PBE | relaxed
data_VCoOs2
_symmetry_space_group_name_H-M 'F m -3 m'
_symmetry_Int_Tables_number 225
_symmetry_space_group_name_Hall '-F 4 2 3'
_cell_length_a 5.966
_cell_length_b 5.966
_cell_length_c 5.966
_cell_angle_alpha 90.00
_cell_angle_beta 90.00
_cell_angle_gamma 90.00
loop_
_atom_site_label
_atom_site_type_symbol
_atom_site_fract_x
_atom_site_fract_y
_atom_site_fract_z
_atom_site_occupancy
V1 V 0.000 0.000 0.000 1
Co1 Co 0.000 0.000 0.500 1
Os1 Os 0.250 0.250 0.250 1
# Calculated density   15.34 g/cm³
# E_form   0.077 eV per atom
# DOS(E_F)   26.095 states/eV/cell
# Offset from the most stable computed form   0.187 eV/atom

=====

[7]
# VCo2Os2 | the Alexandria database | PBE | relaxed
data_VCo2Os2
_symmetry_space_group_name_H-M 'C 1 2/m 1'
_symmetry_Int_Tables_number 12
_cell_length_a 7.197
_cell_length_b 4.274
_cell_length_c 4.810
_cell_angle_alpha 90.00
_cell_angle_beta 117.73
_cell_angle_gamma 90.00
loop_
_symmetry_equiv_pos_as_xyz
'x,y,z'
'-x,-y,-z'
'-x,y,-z'
'x,-y,z'
'x+1/2,y+1/2,z'
'-x+1/2,-y+1/2,-z'
'-x+1/2,y+1/2,-z'
'x+1/2,-y+1/2,z'
loop_
_atom_site_label
_atom_site_type_symbol
_atom_site_fract_x
_atom_site_fract_y
_atom_site_fract_z
_atom_site_occupancy
V1 V 0.000 0.000 0.000 1
Co1 Co 0.107 0.500 0.819 1
Os1 Os 0.196 0.000 0.583 1
# Calculated density   13.93 g/cm³
# E_form   0.146 eV per atom
# DOS(E_F)   10.417 states/eV/cell
# Offset from the most stable computed form   0.000 eV/atom

=====

[8]
# VCoOs | the Alexandria database | PBE | relaxed
data_VCoOs
_symmetry_space_group_name_H-M 'P 63/m m c'
_symmetry_Int_Tables_number 194
_symmetry_space_group_name_Hall '-P 6c 2c'
_cell_length_a 4.0727
_cell_length_b 4.0727
_cell_length_c 5.2461
_cell_angle_alpha 90.00
_cell_angle_beta 90.00
_cell_angle_gamma 120.00
loop_
_atom_site_label
_atom_site_type_symbol
_atom_site_fract_x
_atom_site_fract_y
_atom_site_fract_z
_atom_site_occupancy
V1 V 0.3333 0.6667 0.2500 1
Co1 Co 0.3333 0.6667 0.7500 1
Os1 Os 0.0000 0.0000 0.0000 1
# Calculated density   13.23 g/cm³
# E_form   -0.231 eV per atom
# DOS(E_F)   4.350 states/eV/cell
# Offset from the most stable computed form   0.000 eV/atom

=====

[9]
# V2Co2Os | the Alexandria database | PBE | relaxed
data_V2Co2Os
_symmetry_space_group_name_H-M 'P 4/m b m'
_symmetry_Int_Tables_number 127
_symmetry_space_group_name_Hall '-P 4 2ab'
_cell_length_a 6.959
_cell_length_b 6.959
_cell_length_c 2.595
_cell_angle_alpha 90.00
_cell_angle_beta 90.00
_cell_angle_gamma 90.00
loop_
_atom_site_label
_atom_site_type_symbol
_atom_site_fract_x
_atom_site_fract_y
_atom_site_fract_z
_atom_site_occupancy
V1 V 0.157 0.343 0.000 1
Co1 Co 0.138 0.638 0.500 1
Os1 Os 0.000 0.000 0.000 1
# Calculated density   10.83 g/cm³
# E_form   0.135 eV per atom
# DOS(E_F)   10.608 states/eV/cell
# Offset from the most stable computed form   0.216 eV/atom

=====

[10]
# V2CoOs | the Alexandria database | PBE | relaxed
data_V2CoOs
_symmetry_space_group_name_H-M 'P 4/m m m'
_symmetry_Int_Tables_number 123
_symmetry_space_group_name_Hall '-P 4 2'
_cell_length_a 4.176
_cell_length_b 4.176
_cell_length_c 3.008
_cell_angle_alpha 90.00
_cell_angle_beta 90.00
_cell_angle_gamma 90.00
loop_
_atom_site_label
_atom_site_type_symbol
_atom_site_fract_x
_atom_site_fract_y
_atom_site_fract_z
_atom_site_occupancy
V1 V 0.000 0.500 0.000 1
Co1 Co 0.000 0.000 0.500 1
Os1 Os 0.500 0.500 0.500 1
# Calculated density   11.12 g/cm³
# E_form   -0.185 eV per atom
# DOS(E_F)   2.824 states/eV/cell

=====

[11]
# VCo3Os | the Alexandria database | PBE | relaxed
data_VCo3Os
_symmetry_space_group_name_H-M 'P m -3 m'
_symmetry_Int_Tables_number 221
_symmetry_space_group_name_Hall '-P 4 2 3'
_cell_length_a 4.107
_cell_length_b 4.107
_cell_length_c 4.107
_cell_angle_alpha 90.00
_cell_angle_beta 90.00
_cell_angle_gamma 90.00
loop_
_atom_site_label
_atom_site_type_symbol
_atom_site_fract_x
_atom_site_fract_y
_atom_site_fract_z
_atom_site_occupancy
V1 V 0.000 0.000 0.000 1
Co1 Co 0.000 0.000 0.500 1
Os1 Os 0.500 0.500 0.500 1
# Calculated density   10.02 g/cm³
# E_form   1.366 eV per atom
# DOS(E_F)   6.507 states/eV/cell
# Offset from the most stable computed form   0.969 eV/atom

=====

[12]
# VCoOs2 | the Alexandria database | PBE | relaxed
data_VCoOs2
_symmetry_space_group_name_H-M 'P 1 2/m 1'
_symmetry_Int_Tables_number 10
_cell_length_a 2.635
_cell_length_b 4.311
_cell_length_c 4.784
_cell_angle_alpha 90.00
_cell_angle_beta 94.66
_cell_angle_gamma 90.00
loop_
_symmetry_equiv_pos_as_xyz
'x,y,z'
'-x,-y,-z'
'-x,y,-z'
'x,-y,z'
loop_
_atom_site_label
_atom_site_type_symbol
_atom_site_fract_x
_atom_site_fract_y
_atom_site_fract_z
_atom_site_occupancy
V1 V 0.000 0.000 0.000 1
Co1 Co 0.500 0.000 0.500 1
Os1 Os 0.276 0.500 0.739 1
# Calculated density   15.03 g/cm³
# E_form   0.150 eV per atom
# DOS(E_F)   5.212 states/eV/cell
# Offset from the most stable computed form   0.260 eV/atom